# KTl2Cd

KTl2Cd at its PBEsol-relaxed geometry (meta-GGA SCAN, the Alexandria database).

Calculated values
The value obtained for the magnetic moment is 0.0 μB/f.u. The density of states at the Fermi level is 1.72 states/eV/f.u. The value obtained for the total energy is -45.984 eV/atom.

Lattice parameters (Å, degrees): 3.350 4.592 7.683 90.00 99.39 90.00
Space group P2/m (No. 10)
Asymmetric unit:
1 K 0.000 0.000 0.000
2 Tl 0.410 0.500 0.707
3 Cd 0.000 0.000 0.500